Density functional theory data (PBE-GGA) for a geometry-optimized Ac2LuGa structure.

Cell and atoms, written as POSCAR:
```
Ac2LuGa
1.0
3.965 0.000 0.000
0.000 3.965 0.000
0.000 0.000 8.630
Ac Lu Ga
2 1 1
Cartesian
0.000 0.000 6.768
0.000 0.000 1.863
1.982 1.982 4.315
1.982 1.982 0.000
```

Calculated values
Total magnetization, μB per cell: 0.001
Formation enthalpy at 0 K, eV per atom: -0.145
Distance to the lowest polymorph of the same formula, meV/atom: 0

Density functional theory data (PBE-GGA) for a geometry-optimized AlSi2Ru structure.

Cell and atoms, written as POSCAR:
```
AlSi2Ru
1.0
-1.713 -3.089 -0.884
3.058 -1.093 -2.105
1.520 -1.733 3.109
Ru Si Al
1 2 1
Cartesian
-0.096 -2.411 1.112
0.000 0.000 0.000
2.289 -1.413 0.502
0.673 -2.091 -1.495
```

Calculated values
Total magnetization, μB per cell: 0.000
Raw formation energy, meV/atom: 12.2

Density functional theory data (PBE-GGA) for a geometry-optimized MgAsCl2 structure.

Cell and atoms, written as POSCAR:
```
MgAsCl2
1.0
12.452 -0.011 -0.006
11.997 3.335 -0.006
11.997 1.631 2.909
As Cl Mg
1 2 1
Cartesian
27.334 3.716 2.172
34.871 4.741 2.771
19.797 2.692 1.573
9.111 1.239 0.724
```

Calculated values
Total magnetization, μB per cell: 0.257
Raw formation energy, meV/atom: -878.5
Distance to the lowest polymorph of the same formula, meV/atom: 8

Density functional theory data (PBE-GGA) for a geometry-optimized SrCa2Zn2Si2 structure.

Cell and atoms, written as POSCAR:
```
SrCa2Zn2Si2
1.0
4.228 0.000 0.000
2.114 3.662 0.000
2.114 1.221 12.008
Sr Ca Zn Si
1 2 2 2
Cartesian
0.000 0.000 0.000
2.114 1.221 7.705
6.343 3.662 4.303
4.228 2.441 2.333
4.228 2.441 9.675
6.343 3.662 9.712
2.114 1.221 2.296
```

Calculated values
Total magnetization, μB per cell: 0.000
Raw formation energy, meV/atom: -373.0

Density functional theory data (PBE-GGA) for a geometry-optimized Ba2ZnHgAu structure.

Cell and atoms, written as POSCAR:
```
Ba2ZnHgAu
1.0
6.313 0.000 0.000
0.000 6.313 0.000
0.000 0.000 4.937
Zn Au Hg Ba
1 1 1 2
Cartesian
0.000 0.000 2.469
0.000 0.000 0.000
3.156 3.156 2.469
0.000 3.156 0.000
3.156 0.000 0.000
```

Calculated values
Total magnetization, μB per cell: 0.000
Formation enthalpy at 0 K, eV per atom: -0.361
Distance to the lowest polymorph of the same formula, meV/atom: 0

Density functional theory data (PBE-GGA) for a geometry-optimized PrHo6Sc4 structure.

Cell and atoms, written as POSCAR:
```
PrHo6Sc4
1.0
5.237 0.000 0.000
0.000 8.694 0.000
0.000 -4.347 7.529
Pr Ho Sc
1 6 4
Cartesian
0.000 0.000 0.000
0.000 4.347 0.509
2.619 1.713 6.008
0.000 2.615 3.510
0.000 6.079 3.510
2.619 -1.713 6.008
2.619 0.000 3.042
2.619 4.347 4.317
2.619 2.782 1.606
2.619 5.912 1.606
0.000 0.000 5.020
```

Calculated values
Total magnetization, μB per cell: 0.010
Formation enthalpy at 0 K, eV per atom: 0.303
Distance to the lowest polymorph of the same formula, meV/atom: 189

Density functional theory data (PBE-GGA) for a geometry-optimized TbPrTlIn structure.

Cell and atoms, written as POSCAR:
```
TbPrTlIn
1.0
-0.325 -1.502 5.234
1.327 -5.084 1.466
4.553 -0.913 2.864
Pr Tl Tb In
1 1 1 1
Cartesian
4.166 -5.624 7.173
0.000 0.000 0.000
1.389 -1.875 2.391
2.777 -3.750 4.782
```

Calculated values
Total magnetization, μB per cell: 0.000
Formation enthalpy at 0 K, eV per atom: -0.425